(1)
Computed, not measured: a geometry-optimized ZnCd3Pd structure at the GGA-PBE level of DFT.

Properties
**Energy of formation from the pure elements**: 0.8 eV per formula unit
**Distance to the lowest polymorph of the same formula**: 306 meV per atom
**Calculated density**: 5911 kg/m³
**Crystal system**: cubic

Cell and atoms, written as POSCAR:
```
ZnCd3Pd
1.0
-1.194 -0.398 5.076
-2.941 -4.202 -1.022
4.156 -3.087 0.736
Zn Pd Cd
1 1 3
Cartesian
0.010 -3.844 2.395
0.000 0.000 0.000
-1.470 -2.101 -0.511
2.078 -1.544 0.368
-0.597 -0.199 2.538
```

(2)
Computed, not measured: a geometry-optimized HfTlClO2 structure at the GGA-PBE level of DFT.

Properties
**Calculated density**: 7404 kg/m³
**Crystal system**: tetragonal
**E_form (uncorrected)**: 0.341 eV per atom

Cell and atoms, written as POSCAR:
```
HfTlClO2
1.0
4.152 0.000 0.000
0.000 4.152 0.000
0.000 0.000 5.857
Tl Hf O Cl
1 1 2 1
Cartesian
0.000 0.000 0.000
0.000 0.000 2.929
0.000 2.076 0.000
2.076 0.000 0.000
2.076 2.076 2.929
```